1.
First-principles (GGA+U) data for a geometry-optimized LiMnH6O7 structure, as listed in the Alexandria database. Values from VASP.

SG: P6_3mc
Total energy (Ha/atom): -0.194
M_tot (μB/cell): 0.0

```
&SYSTEM
  ibrav = 0, nat = 30, ntyp = 4
/
ATOMIC_SPECIES
O 16.00 O.upf
H 1.01 H.upf
Li 6.94 Li.upf
Mn 54.94 Mn.upf
CELL_PARAMETERS angstrom
-6.176 3.192 -3.468
-0.464 -7.188 2.912
-1.693 2.121 4.966
ATOMIC_POSITIONS crystal
O 0.667 0.333 0.792
O 0.878 0.757 0.964
O 0.895 0.447 0.415
O 0.243 0.122 0.964
O 0.447 0.553 0.915
O 0.553 0.447 0.415
O 0.553 0.105 0.415
O 0.757 0.878 0.464
O 0.878 0.122 0.964
O 0.122 0.243 0.464
O 0.122 0.878 0.464
O 0.333 0.667 0.292
O 0.447 0.895 0.915
O 0.105 0.553 0.915
H 0.331 0.266 0.955
H 0.266 0.935 0.455
H 0.331 0.065 0.955
H 0.734 0.065 0.955
H 0.669 0.734 0.455
H 0.065 0.331 0.455
H 0.935 0.266 0.955
H 0.935 0.669 0.955
H 0.734 0.669 0.955
H 0.065 0.734 0.455
H 0.669 0.935 0.455
H 0.266 0.331 0.455
Li 0.000 0.000 0.213
Li 0.000 0.000 0.713
Mn 0.667 0.333 0.508
Mn 0.333 0.667 0.008
```

2.
First-principles (GGA+U) data for a geometry-optimized LiMnP2H2O8 structure, as listed in the Alexandria database. Values from VASP.

E above lowest polymorph (meV per atom): 0
SG: P2_12_12
M_tot (μB/cell): 8.0

```
&SYSTEM
  ibrav = 0, nat = 28, ntyp = 5
/
ATOMIC_SPECIES
Mn 54.94 Mn.upf
O 16.00 O.upf
Li 6.94 Li.upf
P 30.97 P.upf
H 1.01 H.upf
CELL_PARAMETERS angstrom
5.285 0.000 0.000
0.000 7.011 0.000
0.000 0.000 8.000
ATOMIC_POSITIONS crystal
Mn 0.233 0.000 0.500
Mn 0.767 0.500 0.000
O 0.508 0.308 0.961
O 0.021 0.300 0.954
O 0.727 0.053 0.214
O 0.979 0.800 0.546
O 0.021 0.700 0.046
O 0.725 0.583 0.725
O 0.273 0.447 0.714
O 0.727 0.947 0.786
O 0.725 0.417 0.275
O 0.492 0.808 0.539
O 0.275 0.917 0.225
O 0.508 0.692 0.039
O 0.273 0.553 0.286
O 0.275 0.083 0.775
O 0.979 0.200 0.454
O 0.492 0.192 0.461
Li 0.923 0.000 0.000
Li 0.077 0.500 0.500
P 0.270 0.285 0.852
P 0.270 0.715 0.148
P 0.730 0.215 0.352
P 0.730 0.785 0.648
H 0.453 0.505 0.708
H 0.547 0.005 0.792
H 0.453 0.495 0.292
H 0.547 0.995 0.208
```

3.
First-principles (GGA+U) data for a geometry-optimized LiMn2P2H4O10 structure, as listed in the Alexandria database. Values from VASP.

SG: P1
Total energy (Ha/atom): -0.241
M_tot (μB/cell): 9.0

```
&SYSTEM
  ibrav = 0, nat = 19, ntyp = 5
/
ATOMIC_SPECIES
H 1.01 H.upf
O 16.00 O.upf
P 30.97 P.upf
Mn 54.94 Mn.upf
Li 6.94 Li.upf
CELL_PARAMETERS angstrom
5.085 -0.009 0.002
-0.907 5.430 -0.005
-1.903 -2.158 7.136
ATOMIC_POSITIONS crystal
H 0.072 0.137 0.218
H 0.926 0.851 0.777
H 0.884 0.945 0.299
H 0.119 0.024 0.683
O 0.244 0.358 0.684
O 0.900 0.107 0.262
O 0.109 0.882 0.742
O 0.676 0.734 0.833
O 0.686 0.297 0.889
O 0.685 0.351 0.576
O 0.331 0.718 0.112
O 0.309 0.278 0.143
O 0.747 0.647 0.335
O 0.295 0.637 0.419
P 0.420 0.570 0.254
P 0.575 0.440 0.747
Mn 0.990 0.493 0.497
Mn 0.512 0.005 0.002
Li 0.094 0.388 0.921
```

4.
First-principles (GGA+U) data for a geometry-optimized LiMnPH2O5 structure, as listed in the Alexandria database. Values from VASP.

E above lowest polymorph (meV per atom): 34
SG: Pmn2_1
M_tot (μB/cell): 10.0

```
&SYSTEM
  ibrav = 0, nat = 20, ntyp = 5
/
ATOMIC_SPECIES
H 1.01 H.upf
O 16.00 O.upf
Li 6.94 Li.upf
P 30.97 P.upf
Mn 54.94 Mn.upf
CELL_PARAMETERS angstrom
4.850 0.000 0.000
0.000 5.662 0.000
0.000 0.000 8.398
ATOMIC_POSITIONS crystal
H 0.662 0.362 0.211
H 0.662 0.638 0.211
H 0.162 0.138 0.789
H 0.162 0.862 0.789
O 0.238 0.000 0.402
O 0.388 0.500 0.821
O 0.842 0.280 0.859
O 0.888 0.000 0.179
O 0.342 0.780 0.141
O 0.342 0.220 0.141
O 0.738 0.500 0.598
O 0.842 0.720 0.859
O 0.287 0.000 0.776
O 0.787 0.500 0.224
Li 0.977 0.500 0.431
Li 0.477 0.000 0.569
P 0.196 0.000 0.222
P 0.696 0.500 0.778
Mn 0.625 0.000 0.978
Mn 0.125 0.500 0.022
```

5.
First-principles (GGA+U) data for a geometry-optimized LiMnPHO5 structure, as listed in the Alexandria database. Values from VASP.

E above lowest polymorph (meV per atom): 0
SG: P-1
M_tot (μB/cell): 8.0

```
&SYSTEM
  ibrav = 0, nat = 18, ntyp = 5
/
ATOMIC_SPECIES
Li 6.94 Li.upf
O 16.00 O.upf
H 1.01 H.upf
P 30.97 P.upf
Mn 54.94 Mn.upf
CELL_PARAMETERS angstrom
-5.097 -0.840 -0.285
1.785 -2.469 -4.638
2.589 -3.930 5.523
ATOMIC_POSITIONS crystal
Li 0.748 0.386 0.824
Li 0.252 0.614 0.176
O 0.643 0.743 0.933
O 0.291 0.775 0.614
O 0.157 0.961 0.277
O 0.843 0.039 0.723
O 0.688 0.667 0.340
O 0.312 0.333 0.660
O 0.123 0.644 0.880
O 0.709 0.225 0.386
O 0.357 0.257 0.067
O 0.877 0.356 0.120
H 0.639 0.920 0.656
H 0.361 0.080 0.344
P 0.671 0.372 0.235
P 0.329 0.628 0.765
Mn 0.000 0.000 0.500
Mn 0.000 0.000 0.000
```

6.
First-principles (GGA+U) data for a geometry-optimized LiMnP2HO7 structure, as listed in the Alexandria database. Values from VASP.

SG: P-1
Total energy (Ha/atom): -0.254
M_tot (μB/cell): 10.0

```
&SYSTEM
  ibrav = 0, nat = 24, ntyp = 5
/
ATOMIC_SPECIES
O 16.00 O.upf
H 1.01 H.upf
Mn 54.94 Mn.upf
P 30.97 P.upf
Li 6.94 Li.upf
CELL_PARAMETERS angstrom
6.485 0.446 -0.147
-0.281 7.748 0.191
2.402 1.767 5.966
ATOMIC_POSITIONS crystal
O 0.888 0.303 0.758
O 0.538 0.192 0.742
O 0.101 0.156 0.090
O 0.310 0.805 0.840
O 0.207 0.038 0.557
O 0.325 0.472 0.432
O 0.899 0.844 0.910
O 0.690 0.195 0.160
O 0.675 0.528 0.568
O 0.462 0.808 0.258
O 0.880 0.297 0.386
O 0.120 0.703 0.614
O 0.112 0.696 0.242
O 0.793 0.962 0.443
H 0.231 0.749 0.019
H 0.769 0.251 0.981
Mn 0.777 0.750 0.287
Mn 0.223 0.250 0.713
P 0.266 0.664 0.378
P 0.129 0.856 0.732
P 0.871 0.144 0.268
P 0.734 0.336 0.622
Li 0.374 0.078 0.228
Li 0.626 0.922 0.772
```

7.
First-principles (GGA+U) data for a geometry-optimized Li4Mn2P4H3O16 structure, as listed in the Alexandria database. Values from VASP.

SG: P1
Total energy (Ha/atom): -0.244
M_tot (μB/cell): 9.0

```
&SYSTEM
  ibrav = 0, nat = 29, ntyp = 5
/
ATOMIC_SPECIES
H 1.01 H.upf
O 16.00 O.upf
Li 6.94 Li.upf
Mn 54.94 Mn.upf
P 30.97 P.upf
CELL_PARAMETERS angstrom
4.967 -0.046 0.014
-1.431 7.542 0.014
-0.309 -0.223 8.304
ATOMIC_POSITIONS crystal
H 0.450 0.481 0.594
H 0.547 0.500 0.351
H 0.969 0.987 0.990
O 0.408 0.671 0.958
O 0.599 0.333 0.050
O 0.994 0.309 0.832
O 0.999 0.693 0.170
O 0.098 0.811 0.457
O 0.144 0.356 0.171
O 0.249 0.456 0.598
O 0.466 0.201 0.321
O 0.865 0.648 0.834
O 0.532 0.803 0.685
O 0.729 0.545 0.403
O 0.892 0.182 0.549
O 0.346 0.158 0.693
O 0.237 0.054 0.062
O 0.768 0.949 0.937
O 0.653 0.848 0.307
Li 0.870 0.310 0.348
Li 0.137 0.688 0.658
Li 0.610 0.161 0.873
Li 0.377 0.843 0.131
Mn 0.000 0.499 0.003
Mn 0.496 0.000 0.501
P 0.639 0.763 0.853
P 0.117 0.263 0.672
P 0.875 0.737 0.331
P 0.363 0.233 0.148
```

8.
First-principles (GGA+U) data for a geometry-optimized Li2Mn2P2H12O15 structure, as listed in the Alexandria database. Values from VASP.

SG: P-1
Total energy (Ha/atom): -0.215
M_tot (μB/cell): 15.9

```
&SYSTEM
  ibrav = 0, nat = 66, ntyp = 5
/
ATOMIC_SPECIES
H 1.01 H.upf
P 30.97 P.upf
O 16.00 O.upf
Mn 54.94 Mn.upf
Li 6.94 Li.upf
CELL_PARAMETERS angstrom
4.858 0.000 0.003
-2.429 11.589 0.207
-0.009 -0.443 11.846
ATOMIC_POSITIONS crystal
H 0.376 0.481 0.580
H 0.766 0.070 0.757
H 0.123 0.208 0.129
H 0.304 0.070 0.257
H 0.812 0.969 0.432
H 0.624 0.519 0.420
H 0.372 0.975 0.647
H 0.602 0.975 0.147
H 0.398 0.025 0.853
H 0.896 0.520 0.920
H 0.615 0.752 0.419
H 0.842 0.031 0.068
H 0.084 0.208 0.628
H 0.234 0.930 0.243
H 0.696 0.930 0.743
H 0.877 0.792 0.871
H 0.916 0.792 0.372
H 0.863 0.248 0.081
H 0.104 0.480 0.080
H 0.385 0.248 0.581
H 0.137 0.752 0.919
H 0.628 0.025 0.353
H 0.188 0.031 0.568
H 0.158 0.969 0.932
P 0.461 0.672 0.725
P 0.210 0.672 0.225
P 0.539 0.328 0.275
P 0.790 0.328 0.775
O 0.361 0.649 0.849
O 0.994 0.196 0.064
O 0.209 0.955 0.595
O 0.805 0.546 0.458
O 0.030 0.439 0.804
O 0.470 0.666 0.147
O 0.741 0.546 0.959
O 0.745 0.955 0.094
O 0.410 0.439 0.304
O 0.797 0.803 0.437
O 0.195 0.454 0.542
O 0.618 0.000 0.750
O 0.319 0.218 0.289
O 0.255 0.045 0.906
O 0.288 0.649 0.349
O 0.804 0.334 0.353
O 0.791 0.045 0.405
O 0.639 0.351 0.151
O 0.970 0.561 0.196
O 0.681 0.782 0.711
O 0.530 0.334 0.853
O 0.382 0.000 0.250
O 0.712 0.351 0.651
O 0.203 0.197 0.563
O 0.590 0.561 0.696
O 0.259 0.454 0.041
O 0.900 0.219 0.789
O 0.100 0.781 0.211
O 0.006 0.804 0.936
O 0.196 0.666 0.647
Mn 0.078 0.485 0.375
Mn 0.922 0.515 0.625
Mn 0.407 0.485 0.875
Mn 0.593 0.515 0.125
Li 0.980 0.805 0.590
Li 0.825 0.804 0.090
Li 0.175 0.196 0.910
Li 0.020 0.195 0.410
```